Rb2CoTeI6: relaxed, PBE-GGA. Values from VASP.

Output
- Fermi-level density of states (states/eV per atom) = 1.42
- formation energy from raw total energies (eV/atom) = -0.5262

Cell and atoms, written as Quantum ESPRESSO input:
```
&SYSTEM
  ibrav = 0, nat = 10, ntyp = 4
/
ATOMIC_SPECIES
I 126.90 I.upf
Te 127.60 Te.upf
Co 58.93 Co.upf
Rb 85.47 Rb.upf
ATOMIC_POSITIONS angstrom
I -6.0411 -0.0047 -2.4332
I -10.5827 -1.7242 -5.7864
I -2.3331 -1.0408 -1.8626
I -6.3643 -2.8392 -5.0807
I -3.5624 -0.2030 -5.4273
I -5.1351 -3.6770 -1.5159
Te 0.0000 0.0000 0.0000
Co -4.3487 -1.9400 -3.4716
Rb -7.4636 1.0094 -6.2195
Rb -9.1601 -2.7383 -2.0001
CELL_PARAMETERS angstrom
-2.6522 1.8077 -7.6911
-6.0453 -5.6877 0.7479
-7.9263 2.1511 -1.2764
```

***

SrTl2Br: relaxed, PBE-GGA. Values from VASP.

Output
- Fermi-level density of states (states/eV per atom) = 0.55
- relative energy among the computed polymorphs (eV per formula unit) = 1.00
- formation energy from raw total energies (eV/atom) = -0.4732

Cell and atoms, written as Quantum ESPRESSO input:
```
&SYSTEM
  ibrav = 0, nat = 8, ntyp = 3
/
ATOMIC_SPECIES
Sr 87.62 Sr.upf
Tl 204.38 Tl.upf
Br 79.90 Br.upf
ATOMIC_POSITIONS angstrom
Sr 0.0000 0.0000 0.0000
Sr -4.8274 6.9258 6.9465
Tl -3.4288 5.3300 3.9356
Tl -3.0075 -0.3060 7.1579
Tl -3.9353 4.0633 9.0861
Tl -7.6400 6.5063 13.8434
Br -3.8669 2.2512 5.1755
Br -4.1784 0.8710 10.0650
CELL_PARAMETERS angstrom
-4.5159 8.3060 2.0569
-3.2180 -3.8035 8.2940
-1.2720 3.2943 6.6606
```

***

Ba3HfO5: relaxed, PBE-GGA. Values from VASP.

Output
- Fermi-level density of states (states/eV per atom) = 0.00
- formation energy from raw total energies (eV/atom) = -2.8615

Cell and atoms, written as Quantum ESPRESSO input:
```
&SYSTEM
  ibrav = 0, nat = 18, ntyp = 3
/
ATOMIC_SPECIES
Ba 137.33 Ba.upf
Hf 178.49 Hf.upf
O 16.00 O.upf
ATOMIC_POSITIONS angstrom
Ba -2.9654 -3.9234 1.9660
Ba 0.1954 -6.2696 -1.8172
Ba -2.5383 -7.5123 0.6090
Ba -0.2317 -2.6808 -0.4602
Ba 2.1796 -0.5606 2.1687
Ba 0.7947 -5.6572 2.2432
Hf -0.2744 -2.6024 4.1073
Hf 3.2487 -3.6154 0.3046
O 0.1514 -4.3074 4.9559
O 0.9619 -1.3249 4.9124
O 5.1106 -4.1255 0.0188
O 3.0489 -3.5327 2.2441
O 2.8229 -1.9104 -0.5440
O 2.0124 -4.8929 -0.5005
O -2.1362 -2.0923 4.3931
O -0.0745 -2.6851 2.1678
O -1.3850 -5.0965 0.0744
O 0.0000 0.0000 0.0000
CELL_PARAMETERS angstrom
-4.9080 -4.0836 3.8771
2.1381 -6.1095 -3.7282
5.7443 3.9752 4.2630
```

***

Please write out number 3 again, unchanged.
Ba3HfO5: relaxed, PBE-GGA. Values from VASP.

Output
- Fermi-level density of states (states/eV per atom) = 0.00
- formation energy from raw total energies (eV/atom) = -2.8615

Cell and atoms, written as Quantum ESPRESSO input:
```
&SYSTEM
  ibrav = 0, nat = 18, ntyp = 3
/
ATOMIC_SPECIES
Ba 137.33 Ba.upf
Hf 178.49 Hf.upf
O 16.00 O.upf
ATOMIC_POSITIONS angstrom
Ba -2.9654 -3.9234 1.9660
Ba 0.1954 -6.2696 -1.8172
Ba -2.5383 -7.5123 0.6090
Ba -0.2317 -2.6808 -0.4602
Ba 2.1796 -0.5606 2.1687
Ba 0.7947 -5.6572 2.2432
Hf -0.2744 -2.6024 4.1073
Hf 3.2487 -3.6154 0.3046
O 0.1514 -4.3074 4.9559
O 0.9619 -1.3249 4.9124
O 5.1106 -4.1255 0.0188
O 3.0489 -3.5327 2.2441
O 2.8229 -1.9104 -0.5440
O 2.0124 -4.8929 -0.5005
O -2.1362 -2.0923 4.3931
O -0.0745 -2.6851 2.1678
O -1.3850 -5.0965 0.0744
O 0.0000 0.0000 0.0000
CELL_PARAMETERS angstrom
-4.9080 -4.0836 3.8771
2.1381 -6.1095 -3.7282
5.7443 3.9752 4.2630
```